[1]
The following is a DFT calculation (GGA-PBE) of TaTlSeO2 after structural relaxation.

Geometry as extended XYZ:
```
5
Lattice="4.077 0.000 0.000 0.000 4.077 0.000 0.000 0.000 5.280" Properties=species:S:1:pos:R:3 pbc="T T T"
Ta 0.000 0.000 0.000
Tl 2.039 2.039 2.640
Se 0.000 0.000 2.640
O 0.000 2.039 0.000
O 2.039 0.000 0.000
```

## Properties
energy relative to the elements, uncorrected = -1.509 eV/atom
density of states at the Fermi level = 0.2679 states/eV/atom
volume = 17.56 A^3/atom
SG = P4/mmm


[2]
The following is a DFT calculation (GGA-PBE) of CsTlInBi after structural relaxation.

Geometry as extended XYZ:
```
16
Lattice="8.381 0.000 0.000 0.000 8.381 0.000 0.000 0.000 8.381" Properties=species:S:1:pos:R:3 pbc="T T T"
Cs 0.000 0.000 0.000
Cs 0.000 4.190 4.190
Cs 4.190 0.000 4.190
Cs 4.190 4.190 0.000
Tl 2.095 2.095 6.286
Tl 2.095 6.286 2.095
Tl 6.286 2.095 2.095
Tl 6.286 6.286 6.286
In 2.095 2.095 2.095
In 2.095 6.286 6.286
In 6.286 2.095 6.286
In 6.286 6.286 2.095
Bi 0.000 0.000 4.190
Bi 0.000 4.190 0.000
Bi 4.190 0.000 0.000
Bi 4.190 4.190 4.190
```

## Properties
E_form = -0.080 eV/atom
E above lowest polymorph = 17.3 kJ/mol of formula units
density of states at the Fermi level = 0.5966 states/eV/atom
volume = 36.79 A^3/atom
SG = F-43m


[3]
The following is a DFT calculation (GGA-PBE) of Na7Sr3Li2 after structural relaxation.

Geometry as extended XYZ:
```
12
Lattice="3.495 2.018 10.857 -3.495 2.018 10.857 0.000 -4.036 10.857" Properties=species:S:1:pos:R:3 pbc="T T T"
Na 0.000 0.000 0.000
Na 0.000 -1.993 7.967
Na -1.726 0.996 7.967
Na -1.726 -0.996 24.603
Na 1.726 0.996 7.967
Na 1.726 -0.996 24.603
Na 0.000 1.993 24.603
Sr 0.000 0.000 11.674
Sr 0.000 0.000 16.285
Sr 0.000 0.000 20.896
Li 0.000 0.000 5.421
Li 0.000 0.000 27.149
```

## Properties
E_form = 0.033 eV/atom
density of states at the Fermi level = 0.6232 states/eV/atom
volume = 38.29 A^3/atom
SG = R-3m


[4]
The following is a DFT calculation (GGA-PBE) of LuHfTi4 after structural relaxation.

Geometry as extended XYZ:
```
6
Lattice="0.000 3.957 3.957 3.957 0.000 3.957 3.957 3.957 0.000" Properties=species:S:1:pos:R:3 pbc="T T T"
Lu 0.000 0.000 0.000
Hf 5.935 5.935 5.935
Ti 2.985 2.985 2.985
Ti 4.929 4.929 2.985
Ti 4.929 2.985 4.929
Ti 2.985 4.929 4.929
```

## Properties
E_form = 0.211 eV/atom
density of states at the Fermi level = 2.1306 states/eV/atom
volume = 20.65 A^3/atom
SG = F-43m